w | # Y3Tc5

An optimized crystal structure of Y3Tc5 (PBE, the Alexandria database).

Values from the calculation:
Space-group type   No. 65
Fermi-level density of states   1.03 states/eV/atom
Spin magnetization   0.00 μB per formula unit
Volume   148.8 Å³ per cell

Cell lengths 5.8341, 5.8341, 4.6252 Å; angles 90.00, 90.00, 109.05 degrees
Last column: nearest neighbours and their distance in Å.
Positions (direct):
Y 0.0000 0.0000 0.0000  8 Tc 2.92-3.02
Y 0.2466 0.7534 0.5000  8 Tc 2.81-3.04
Y 0.7534 0.2466 0.5000  8 Tc 2.81-3.04
Tc 0.0000 0.5000 0.0000  6 Y 2.87-2.92, 2 Tc 2.92
Tc 0.2857 0.2857 0.5000  3 Tc 2.73-2.90, 6 Y 2.81-3.04
Tc 0.5000 0.0000 0.0000  6 Y 2.87-2.92, 2 Tc 2.92
Tc 0.5000 0.5000 0.0000  8 Tc 2.73-2.92
Tc 0.7143 0.7143 0.5000  3 Tc 2.73-2.90, 6 Y 2.81-3.04

x | # Y3Tc5

An optimized crystal structure of Y3Tc5 (PBE, the Alexandria database).

Values from the calculation:
Space-group type   No. 40
Fermi-level density of states   0.99 states/eV/atom
Spin magnetization   0.00 μB per formula unit
Volume   351.8 Å³ per cell

Cell lengths 4.8757, 10.0721, 10.0721 Å; angles 45.34, 90.00, 90.00 degrees
Last column: nearest neighbours and their distance in Å.
Positions (direct):
Y 0.2500 0.1328 0.8672  4 Tc 2.77-3.09
Y 0.2500 0.4286 0.0836  6 Tc 2.89-3.17
Y 0.2500 0.7901 0.4517  3 Tc 2.85-2.94
Y 0.7500 0.0836 0.4286  6 Tc 2.89-3.17
Y 0.7500 0.4517 0.7901  3 Tc 2.85-2.94
Y 0.7500 0.8672 0.1328  4 Tc 2.77-3.09
Tc 0.0000 0.1329 0.1329  2 Tc 2.44
Tc 0.0000 0.8433 0.8433  4 Tc 2.44-2.60
Tc 0.2500 0.2107 0.5109  3 Tc 2.50-2.70
Tc 0.2500 0.4698 0.4947  4 Tc 2.45-2.50
Tc 0.2500 0.6561 0.1600  5 Tc 2.45-2.70
Tc 0.5000 0.1329 0.1329  2 Tc 2.44
Tc 0.5000 0.8433 0.8433  4 Tc 2.44-2.60
Tc 0.7500 0.1600 0.6561  5 Tc 2.45-2.70
Tc 0.7500 0.4947 0.4698  4 Tc 2.45-2.50
Tc 0.7500 0.5109 0.2107  3 Tc 2.50-2.70

y | # Y3Tc5

An optimized crystal structure of Y3Tc5 (PBE, the Alexandria database).

Values from the calculation:
Space-group type   No. 2
Fermi-level density of states   1.12 states/eV/atom
Spin magnetization   0.00 μB per formula unit
Volume   349.3 Å³ per cell

Cell lengths 5.0774, 8.5348, 8.6074 Å; angles 102.74, 97.11, 102.54 degrees
Last column: nearest neighbours and their distance in Å.
Positions (direct):
Y 0.1985 0.4070 0.0676  6 Tc 2.89-3.05, 1 Y 3.09
Y 0.2473 0.3913 0.6173  4 Tc 3.06-3.20, 1 Y 3.37
Y 0.2759 0.9322 0.5898  7 Tc 2.92-3.19, 1 Y 3.07
Y 0.7241 0.0678 0.4102  7 Tc 2.92-3.19, 1 Y 3.07
Y 0.7527 0.6087 0.3827  4 Tc 3.06-3.20, 1 Y 3.37
Y 0.8015 0.5930 0.9324  6 Tc 2.89-3.05, 1 Y 3.09
Tc 0.0766 0.8752 0.2311  3 Tc 2.45-2.69
Tc 0.2179 0.1763 0.2671  3 Tc 2.45-2.71
Tc 0.2348 0.0043 0.9650  7 Tc 2.47-2.76
Tc 0.3347 0.7426 0.8308  3 Tc 2.47-2.53
Tc 0.4582 0.7696 0.1310  3 Tc 2.48-2.56
Tc 0.5418 0.2304 0.8690  3 Tc 2.48-2.56
Tc 0.6653 0.2574 0.1692  3 Tc 2.47-2.53
Tc 0.7652 0.9957 0.0350  7 Tc 2.47-2.76
Tc 0.7821 0.8237 0.7329  3 Tc 2.45-2.71
Tc 0.9234 0.1248 0.7689  3 Tc 2.45-2.69

Stability check: which of them is least stable? x.